# 1
DFT (meta-GGA SCAN) results for TcS2 at its PBEsol-relaxed geometry.

Summary:
VASP energy = -18.81 eV/atom
ρ = 5.03 g/cm³
Spin magnetization = 0.00 Bohr magnetons per cell
Calculated volume = 17.83 A^3/atom

```
data_TcS2
_cell_length_a 6.315
_cell_length_b 6.420
_cell_length_c 6.676
_cell_angle_alpha 64.49
_cell_angle_beta 76.65
_cell_angle_gamma 61.23
_space_group_name_H-M_alt 'P -1'
_space_group_IT_number 2
loop_
_space_group_symop_operation_xyz
'x,y,z'
'-x,-y,-z'
loop_
_atom_site_label
_atom_site_fract_x
_atom_site_fract_y
_atom_site_fract_z
Tc1 0.012 0.285 0.003
Tc2 0.437 0.310 0.009
S1 0.135 0.319 0.285
S2 0.178 0.821 0.193
S3 0.325 0.714 0.743
S4 0.361 0.161 0.781
```

# 2
DFT (meta-GGA SCAN) results for Tc3TeS at its PBEsol-relaxed geometry.

Summary:
VASP energy = -29.78 eV/atom
ρ = 9.00 g/cm³
Spin magnetization = 0.65 Bohr magnetons per cell
Calculated volume = 16.74 A^3/atom

```
data_Tc3TeS
_cell_length_a 4.374
_cell_length_b 4.374
_cell_length_c 4.374
_cell_angle_alpha 90.00
_cell_angle_beta 90.00
_cell_angle_gamma 90.00
_space_group_name_H-M_alt 'P m -3 m'
_space_group_IT_number 221
_space_group_name_Hall '-P 4 2 3'
loop_
_atom_site_label
_atom_site_fract_x
_atom_site_fract_y
_atom_site_fract_z
Tc1 0.000 0.000 0.500
Te1 0.500 0.500 0.500
S1 0.000 0.000 0.000
```

# 3
DFT (meta-GGA SCAN) results for Tc3TeS at its PBEsol-relaxed geometry.

Summary:
VASP energy = -28.32 eV/atom
ρ = 6.84 g/cm³
Spin magnetization = 7.24 Bohr magnetons per cell
Calculated volume = 22.02 A^3/atom

```
data_Tc3TeS
_cell_length_a 4.793
_cell_length_b 4.793
_cell_length_c 4.793
_cell_angle_alpha 90.00
_cell_angle_beta 90.00
_cell_angle_gamma 90.00
_space_group_name_H-M_alt 'P m -3 m'
_space_group_IT_number 221
_space_group_name_Hall '-P 4 2 3'
loop_
_atom_site_label
_atom_site_fract_x
_atom_site_fract_y
_atom_site_fract_z
Tc1 0.000 0.000 0.500
Te1 0.000 0.000 0.000
S1 0.500 0.500 0.500
```

# 4
DFT (meta-GGA SCAN) results for TiTcS2 at its PBEsol-relaxed geometry.

Summary:
VASP energy = -18.11 eV/atom
ρ = 5.75 g/cm³
Spin magnetization = 0.00 Bohr magnetons per cell
Calculated volume = 15.16 A^3/atom

```
data_TiTcS2
_cell_length_a 2.9914
_cell_length_b 2.9914
_cell_length_c 23.4744
_cell_angle_alpha 90.00
_cell_angle_beta 90.00
_cell_angle_gamma 120.00
_space_group_name_H-M_alt 'R -3 m'
_space_group_IT_number 166
_space_group_name_Hall '-R 3 2"'
loop_
_atom_site_label
_atom_site_fract_x
_atom_site_fract_y
_atom_site_fract_z
Ti1 0.0000 0.0000 0.0000
Tc1 0.0000 0.0000 0.5000
S1 0.0000 0.0000 0.4035
```

# 5
DFT (meta-GGA SCAN) results for TlTcS2 at its PBEsol-relaxed geometry.

Summary:
VASP energy = -31.99 eV/atom
ρ = 7.55 g/cm³
Spin magnetization = 4.53 Bohr magnetons per cell
Calculated volume = 20.15 A^3/atom

```
data_TlTcS2
_cell_length_a 3.2074
_cell_length_b 3.2074
_cell_length_c 27.1400
_cell_angle_alpha 90.00
_cell_angle_beta 90.00
_cell_angle_gamma 120.00
_space_group_name_H-M_alt 'R -3 m'
_space_group_IT_number 166
_space_group_name_Hall '-R 3 2"'
loop_
_atom_site_label
_atom_site_fract_x
_atom_site_fract_y
_atom_site_fract_z
Tl1 0.0000 0.0000 0.0000
Tc1 0.0000 0.0000 0.5000
S1 0.0000 0.0000 0.1111
```

# 6
DFT (meta-GGA SCAN) results for TcW3S at its PBEsol-relaxed geometry.

Summary:
VASP energy = -48.41 eV/atom
ρ = 11.23 g/cm³
Spin magnetization = 0.00 Bohr magnetons per cell
Calculated volume = 20.15 A^3/atom

```
data_TcW3S
_cell_length_a 4.653
_cell_length_b 4.653
_cell_length_c 4.653
_cell_angle_alpha 90.00
_cell_angle_beta 90.00
_cell_angle_gamma 90.00
_space_group_name_H-M_alt 'P m -3 m'
_space_group_IT_number 221
_space_group_name_Hall '-P 4 2 3'
loop_
_atom_site_label
_atom_site_fract_x
_atom_site_fract_y
_atom_site_fract_z
Tc1 0.000 0.000 0.000
W1 0.000 0.000 0.500
S1 0.500 0.500 0.500
```

Q: What is the VASP energy in the third record?
A: -28.32 eV/atom